DFT (GGA-PBE) results for crystalline KNa2PPt at its relaxed geometry.

a = 5.617 Å, b = 5.617 Å, c = 4.486 Å
α = 90.00°, β = 90.00°, γ = 90.00°
Element x y z (fractional)
P 0.000 0.000 0.500
K 0.500 0.500 0.500
Pt 0.000 0.000 0.000
Na 0.000 0.500 0.000
Na 0.500 0.000 0.000

Values from the calculation:
Crystal system = tetragonal
M_tot = 0.28 μB/cell
Energy of formation = -284 meV/atom
Symmetry = P4/mmm, No. 123
Energy relative to the lowest polymorph listed for this composition = 0.000 eV per atom